# 1
Material: K4Pr3NdTe8
Method: DFT, PBE-GGA
State: optimized geometry

a b c (Å): 9.8494 9.8494 9.8494
angles (deg): 56.23 56.23 56.23
Last column: nearest neighbours and their distance in Å.
Fractional positions:
K (0.0000, 0.0000, 0.0000)  6 Te 3.57
K (0.0000, 0.5000, 0.5000)  6 Te 3.56
K (0.5000, 0.0000, 0.5000)  6 Te 3.56
K (0.5000, 0.5000, 0.0000)  6 Te 3.56
Pr (0.0000, 0.0000, 0.5000)  6 Te 3.22
Pr (0.0000, 0.5000, 0.0000)  6 Te 3.22
Pr (0.5000, 0.0000, 0.0000)  6 Te 3.22
Nd (0.5000, 0.5000, 0.5000)  6 Te 3.21
Te (0.2388, 0.2388, 0.2388)  3 Pr 3.22, 3 K 3.56
Te (0.2401, 0.7377, 0.7377)  1 Nd 3.21, 2 Pr 3.22, 3 K 3.56-3.57
Te (0.2623, 0.2623, 0.7599)  1 Nd 3.21, 2 Pr 3.22, 3 K 3.56-3.57
Te (0.2623, 0.7599, 0.2623)  1 Nd 3.21, 2 Pr 3.22, 3 K 3.56-3.57
Te (0.7377, 0.2401, 0.7377)  1 Nd 3.21, 2 Pr 3.22, 3 K 3.56-3.57
Te (0.7377, 0.7377, 0.2401)  1 Nd 3.21, 2 Pr 3.22, 3 K 3.56-3.57
Te (0.7599, 0.2623, 0.2623)  1 Nd 3.21, 2 Pr 3.22, 3 K 3.56-3.57
Te (0.7612, 0.7612, 0.7612)  3 Pr 3.22, 3 K 3.56

crystal system	trigonal
formation energy (no corrections)	-22.71	eV/f.u.
V	38.54	Å³ per atom


# 2
Material: Cs2Hg2P
Method: DFT, PBE-GGA
State: optimized geometry

a b c (Å): 11.2100 11.2100 11.2100
angles (deg): 157.25 157.25 32.39
Last column: nearest neighbours and their distance in Å.
Fractional positions:
Cs (0.0898, 0.0898, 0.0000)  4 P 3.68, 1 Cs 3.87, 4 Hg 4.10
Cs (0.9102, 0.9102, 0.0000)  4 P 3.68, 1 Cs 3.87, 4 Hg 4.10
Hg (0.2500, 0.7500, 0.5000)  4 Hg 3.13
Hg (0.7500, 0.2500, 0.5000)  4 Hg 3.13
P (0.5000, 0.5000, 0.0000)  8 Cs 3.68

polymorph energy (0 for the lowest one)	16.5	kJ/mol of formula units
energy relative to the elements	-0.011	eV per atom
crystal system	tetragonal
V	42.10	Å³ per atom


Number 1: ρ 4.70 g cm⁻³. Number 2: ρ 5.51 g cm⁻³.